No. 1
Here is a relaxed Ta2MoSe crystal from Alexandria. Energies are from GGA-PBEsol.

Cell and atoms, written as CIF:
```
data_Ta2MoSe
_chemical_formula_sum 'Ta4 Mo2 Se2'
_space_group_name_H-M_alt 'I 4/m m m'
_space_group_IT_number 139
_space_group_name_Hall '-I 4 2'
_cell_length_a 4.236
_cell_length_b 4.236
_cell_length_c 7.453
_cell_angle_alpha 90.00
_cell_angle_beta 90.00
_cell_angle_gamma 90.00
loop_
_atom_site_label
_atom_site_fract_x
_atom_site_fract_y
_atom_site_fract_z
Ta1 0.000 0.500 0.250
Mo1 0.000 0.000 0.000
Se1 0.000 0.000 0.500
```

electronic total energy = -9.958 eV per atom
crystal system = tetragonal

No. 2
Here is a relaxed CrAsCl3 crystal from Alexandria. Energies are from GGA-PBEsol.

Cell and atoms, written as CIF:
```
data_CrAsCl3
_chemical_formula_sum 'Cr1 As1 Cl3'
_space_group_name_H-M_alt 'P m -3 m'
_space_group_IT_number 221
_space_group_name_Hall '-P 4 2 3'
_cell_length_a 4.769
_cell_length_b 4.769
_cell_length_c 4.769
_cell_angle_alpha 90.00
_cell_angle_beta 90.00
_cell_angle_gamma 90.00
loop_
_atom_site_label
_atom_site_fract_x
_atom_site_fract_y
_atom_site_fract_z
Cr1 0.000 0.000 0.000
As1 0.500 0.500 0.500
Cl1 0.000 0.000 0.500
```

electronic total energy = -4.376 eV per atom
crystal system = cubic

No. 3
Here is a relaxed ZrZn2Mo crystal from Alexandria. Energies are from GGA-PBEsol.

Cell and atoms, written as CIF:
```
data_ZrZn2Mo
_chemical_formula_sum 'Zr2 Zn4 Mo2'
_space_group_name_H-M_alt 'I m m 2'
_space_group_IT_number 44
_space_group_name_Hall 'I 2 -2'
_cell_length_a 3.365
_cell_length_b 4.454
_cell_length_c 8.522
_cell_angle_alpha 90.00
_cell_angle_beta 90.00
_cell_angle_gamma 90.00
loop_
_atom_site_label
_atom_site_fract_x
_atom_site_fract_y
_atom_site_fract_z
Zr1 0.000 0.000 0.000
Zn1 0.000 0.000 0.515
Zn2 0.000 0.500 0.233
Mo1 0.000 0.500 0.761
```

crystal system = orthorhombic
formation energy from the elements = 0.75 kcal/mol of atoms

No. 4
Here is a relaxed Pt2W2Au crystal from Alexandria. Energies are from GGA-PBEsol.

Cell and atoms, written as CIF:
```
data_Pt2W2Au
_chemical_formula_sum 'Pt4 W4 Au2'
_space_group_name_H-M_alt 'I 4/m m m'
_space_group_IT_number 139
_space_group_name_Hall '-I 4 2'
_cell_length_a 3.725
_cell_length_b 3.725
_cell_length_c 12.379
_cell_angle_alpha 90.00
_cell_angle_beta 90.00
_cell_angle_gamma 90.00
loop_
_atom_site_label
_atom_site_fract_x
_atom_site_fract_y
_atom_site_fract_z
Pt1 0.000 0.500 0.250
W1 0.000 0.000 0.098
Au1 0.000 0.000 0.500
```

crystal system = tetragonal
formation energy from the elements = 10.54 kcal/mol of atoms

No. 5
Here is a relaxed Li2CrAu crystal from Alexandria. Energies are from GGA-PBEsol.

Cell and atoms, written as CIF:
```
data_Li2CrAu
_chemical_formula_sum 'Li2 Cr1 Au1'
_space_group_name_H-M_alt 'P 4/m m m'
_space_group_IT_number 123
_space_group_name_Hall '-P 4 2'
_cell_length_a 3.858
_cell_length_b 3.858
_cell_length_c 4.113
_cell_angle_alpha 90.00
_cell_angle_beta 90.00
_cell_angle_gamma 90.00
loop_
_atom_site_label
_atom_site_fract_x
_atom_site_fract_y
_atom_site_fract_z
Li1 0.000 0.500 0.000
Cr1 0.000 0.000 0.500
Au1 0.500 0.500 0.500
```

crystal system = tetragonal
formation energy from the elements = 1.59 kcal/mol of atoms

No. 6
Here is a relaxed EuNbO3 crystal from Alexandria. Energies are from GGA-PBEsol.

Cell and atoms, written as CIF:
```
data_EuNbO3
_chemical_formula_sum 'Eu4 Nb4 O12'
_space_group_name_H-M_alt 'I m m a'
_space_group_IT_number 74
_space_group_name_Hall '-I 2b 2'
_cell_length_a 5.663
_cell_length_b 7.953
_cell_length_c 5.725
_cell_angle_alpha 90.00
_cell_angle_beta 90.00
_cell_angle_gamma 90.00
loop_
_atom_site_label
_atom_site_fract_x
_atom_site_fract_y
_atom_site_fract_z
Eu1 0.000 0.250 0.013
Nb1 0.000 0.000 0.500
O1 0.000 0.250 0.580
O2 0.250 0.044 0.250
```

electronic total energy = -10.214 eV per atom
crystal system = orthorhombic

No. 7
Here is a relaxed CaZrAl2Tl crystal from Alexandria. Energies are from GGA-PBEsol.

Cell and atoms, written as CIF:
```
data_CaZrAl2Tl
_chemical_formula_sum 'Ca1 Zr1 Al2 Tl1'
_space_group_name_H-M_alt 'P 4/m m m'
_space_group_IT_number 123
_space_group_name_Hall '-P 4 2'
_cell_length_a 5.279
_cell_length_b 5.279
_cell_length_c 4.994
_cell_angle_alpha 90.00
_cell_angle_beta 90.00
_cell_angle_gamma 90.00
loop_
_atom_site_label
_atom_site_fract_x
_atom_site_fract_y
_atom_site_fract_z
Ca1 0.000 0.000 0.000
Zr1 0.000 0.000 0.500
Al1 0.000 0.500 0.000
Tl1 0.500 0.500 0.500
```

crystal system = tetragonal
formation energy from the elements = 29.66 kcal/mol of atoms

No. 8
Here is a relaxed KNiAsO4 crystal from Alexandria. Energies are from GGA-PBEsol.

Cell and atoms, written as CIF:
```
data_KNiAsO4
_chemical_formula_sum 'K6 Ni6 As6 O24'
_space_group_name_H-M_alt 'R -3'
_space_group_IT_number 148
_space_group_name_Hall '-R 3'
_cell_length_a 4.9690
_cell_length_b 4.9690
_cell_length_c 28.5063
_cell_angle_alpha 90.00
_cell_angle_beta 90.00
_cell_angle_gamma 120.00
loop_
_atom_site_label
_atom_site_fract_x
_atom_site_fract_y
_atom_site_fract_z
K1 0.0000 0.0000 0.2113
Ni1 0.0000 0.0000 0.3345
As1 0.0000 0.0000 0.0601
O1 0.0000 0.0000 0.1195
O2 0.0014 0.3298 0.7081
```

electronic total energy = -6.055 eV per atom
crystal system = trigonal